# 1
VASP calculation (PBE) on Ta2MoIr after structural relaxation.

```
Ta2MoIr
1.0
2.832 -0.001 0.000
-0.741 2.733 0.000
0.000 0.000 8.600
Ta Ir Mo
2 1 1
direct
0.000 0.000 0.492
0.000 0.000 0.008
0.500 0.500 0.250
0.500 0.500 0.750
```

Summary:
Space group ... Cmmm, No. 65
N(E_F) ... 1.1203 states/eV/atom
Formation energy from the elements ... -0.225 eV per atom


# 2
VASP calculation (PBE) on TaMoIr2 after structural relaxation.

```
TaMoIr2
1.0
4.471 0.000 0.000
2.235 3.872 0.000
2.235 1.291 3.650
Mo Ta Ir
1 1 2
direct
0.500 0.500 0.500
0.750 0.750 0.750
0.250 0.250 0.250
0.000 0.000 0.000
```

Summary:
Space group ... F-43m, No. 216
N(E_F) ... 0.7831 states/eV/atom
Distance to the lowest polymorph of the same formula ... 37.2 kJ per mole of atoms
Formation energy from the elements ... -0.081 eV per atom


# 3
VASP calculation (PBE) on TaMo3Ir after structural relaxation.

```
TaMo3Ir
1.0
-2.647 -0.846 -3.780
-0.722 -4.391 1.489
-3.806 1.422 2.347
Mo Ta Ir
3 1 1
direct
0.000 0.500 0.000
0.000 0.000 0.500
0.500 0.000 0.000
0.500 0.500 0.500
0.000 0.000 0.000
```

Summary:
Space group ... Pm-3m, No. 221
N(E_F) ... 0.9979 states/eV/atom
Distance to the lowest polymorph of the same formula ... 0.0 kJ per mole of atoms
Formation energy from the elements ... 1.590 eV per atom


# 4
VASP calculation (PBE) on Ta2MoIr after structural relaxation.

```
Ta2MoIr
1.0
-1.380 2.242 -2.104
-3.960 -2.356 0.087
-1.314 2.333 3.348
Ta Ir Mo
2 1 1
direct
0.000 0.000 0.000
0.500 0.500 0.000
0.500 0.000 0.500
0.000 0.500 0.500
```

Summary:
Space group ... Pmmm, No. 47
N(E_F) ... 1.0879 states/eV/atom
Formation energy from the elements ... -0.201 eV per atom


# 5
VASP calculation (PBE) on TaMoIr2 after structural relaxation.

```
TaMoIr2
1.0
-1.022 -4.402 -0.314
2.630 -0.548 -0.875
1.402 -0.655 4.620
Ir Mo Ta
2 1 1
direct
0.000 0.125 0.945
0.500 0.125 0.307
0.000 0.625 0.442
0.500 0.625 0.806
```

Summary:
Space group ... Pmm2, No. 25
N(E_F) ... 0.8850 states/eV/atom
Distance to the lowest polymorph of the same formula ... 3.9 kJ per mole of atoms
Formation energy from the elements ... -0.426 eV per atom


# 6
VASP calculation (PBE) on TaVMoIr after structural relaxation.

```
TaVMoIr
1.0
4.437 0.000 0.000
2.218 3.843 0.000
2.218 1.281 3.623
V Ta Ir Mo
1 1 1 1
direct
0.250 0.250 0.250
0.750 0.750 0.750
0.500 0.500 0.500
0.000 0.000 0.000
```

Summary:
Space group ... F-43m, No. 216
N(E_F) ... 0.9581 states/eV/atom
Formation energy from the elements ... -0.339 eV per atom


# 7
VASP calculation (PBE) on TaZnMoIr after structural relaxation.

```
TaZnMoIr
1.0
-1.941 -3.793 -1.300
0.059 -3.563 2.674
-3.754 -1.369 1.969
Ta Zn Ir Mo
1 1 1 1
direct
0.500 0.500 0.500
0.000 0.000 0.000
0.750 0.750 0.750
0.250 0.250 0.250
```

Summary:
Space group ... F-43m, No. 216
N(E_F) ... 1.1842 states/eV/atom
Formation energy from the elements ... -0.123 eV per atom


# 8
VASP calculation (PBE) on TcMoIr2 after structural relaxation.

```
TcMoIr2
1.0
4.816 0.008 -0.007
4.027 2.641 -0.007
0.796 0.238 4.661
Mo Ir Tc
1 2 1
direct
0.250 0.250 0.250
0.499 0.499 0.502
0.001 0.001 0.998
0.750 0.750 0.750
```

Summary:
Space group ... C2/m, No. 12
N(E_F) ... 0.9844 states/eV/atom
Distance to the lowest polymorph of the same formula ... 20.2 kJ per mole of atoms
Formation energy from the elements ... -0.121 eV per atom